Ba3MgPb3 | GGA-PBE | relaxed

Values from the calculation:
Calculated formation energy (meV/atom): -521.4
Spin magnetization (μB per cell): 0.0

a b c (Å): 12.9098 5.3173 17.0412
angles (deg): 90.00 110.92 90.00
Last column: nearest neighbours and their distance in Å.
Space group C2/m (No. 12)
Asymmetric unit:
Ba1 0.0259 0.0000 0.3822 (multiplicity 4)  7 Pb 3.70-4.10, 4 Mg 3.73-3.87
Ba2 0.0944 0.0000 0.9206 (multiplicity 4)  7 Pb 3.70-3.80
Ba3 0.2408 0.0000 0.2275 (multiplicity 4)  6 Pb 3.66-3.82, 2 Mg 4.02
Mg1 0.2372 0.5000 0.4038 (multiplicity 4)  4 Pb 3.07-3.09
Pb1 0.0405 0.5000 0.2359 (multiplicity 4)  1 Mg 3.07, 1 Pb 3.19
Pb2 0.1148 0.5000 0.0762 (multiplicity 4)  2 Pb 3.17-3.19
Pb3 0.1350 0.5000 0.5424 (multiplicity 4)  3 Mg 3.09, 1 Pb 3.26

BaMg4Pb6 | GGA-PBE | relaxed

Values from the calculation:
Calculated formation energy (meV/atom): -113.4
Spin magnetization (μB per cell): 0.0

a b c (Å): 8.8132 8.8132 4.9560
angles (deg): 90.00 90.00 120.00
Last column: nearest neighbours and their distance in Å.
Space group P-6m2 (No. 187)
Asymmetric unit:
Ba1 0.0000 0.0000 0.0000 (multiplicity 1)  6 Pb 3.90, 6 Mg 4.05
Mg1 0.3333 0.6667 0.0000 (multiplicity 1)  9 Pb 3.03-3.24
Mg2 0.4201 0.2101 0.5000 (multiplicity 3)  6 Pb 3.11-3.17, 2 Mg 3.26
Pb1 0.1970 0.3941 0.5000 (multiplicity 3)  4 Mg 3.11-3.24
Pb2 0.5320 0.0639 0.0000 (multiplicity 3)  5 Mg 3.03-3.17

BaMg6Pb4 | GGA-PBE | relaxed

Values from the calculation:
Calculated formation energy (meV/atom): -167.2
Spin magnetization (μB per cell): 0.0

a b c (Å): 8.8114 8.8114 4.6402
angles (deg): 90.00 90.00 120.00
Last column: nearest neighbours and their distance in Å.
Space group P-6m2 (No. 187)
Asymmetric unit:
Ba1 0.0000 0.0000 0.0000 (multiplicity 1)  6 Pb 3.76, 6 Mg 3.87
Mg1 0.2028 0.4056 0.5000 (multiplicity 3)  4 Pb 3.03-3.06
Mg2 0.5361 0.0722 0.0000 (multiplicity 3)  5 Pb 3.09-3.11, 2 Mg 3.45
Pb1 0.3333 0.6667 0.0000 (multiplicity 1)  9 Mg 3.06-3.09
Pb2 0.3874 0.1937 0.5000 (multiplicity 3)  6 Mg 3.03-3.11

Ba3Mg2Pb3 | GGA-PBE | relaxed

Values from the calculation:
Calculated formation energy (meV/atom): -451.1
Spin magnetization (μB per cell): 0.0

a b c (Å): 9.6029 17.4434 7.0744
angles (deg): 90.00 90.00 90.00
Last column: nearest neighbours and their distance in Å.
Space group Pnma (No. 62)
Asymmetric unit:
Ba1 0.0416 0.1085 0.1297 (multiplicity 8)  6 Pb 3.55-3.97, 3 Mg 3.63-3.93
Ba2 0.1941 0.2500 0.5932 (multiplicity 4)  5 Pb 3.68-3.87, 4 Mg 3.84-3.95
Mg1 0.0951 0.5981 0.3932 (multiplicity 8)  4 Pb 2.97-3.04
Pb1 0.1668 0.7500 0.5798 (multiplicity 4)  2 Mg 3.04
Pb2 0.1993 0.0370 0.6177 (multiplicity 8)  3 Mg 2.97-3.02

BaMgPb4 | GGA-PBE | relaxed

Values from the calculation:
Calculated formation energy (meV/atom): -161.8
Spin magnetization (μB per cell): 0.0

a b c (Å): 7.0776 7.0878 9.0420
angles (deg): 79.37 79.33 64.75
Last column: nearest neighbours and their distance in Å.
Space group P-1 (No. 2)
Asymmetric unit:
Ba1 0.2094 0.2091 0.0153 (multiplicity 2)  9 Pb 3.66-4.07, 2 Ba 3.91
Mg1 0.0000 0.0000 0.5000 (multiplicity 1)  4 Pb 3.17-3.23
Mg2 0.5000 0.5000 0.5000 (multiplicity 1)  8 Pb 3.02-3.34
Pb1 0.0671 0.5281 0.6461 (multiplicity 2)  2 Mg 3.04-3.23, 2 Pb 3.11-3.26
Pb2 0.2644 0.6746 0.1845 (multiplicity 2)  4 Pb 3.20-3.43, 1 Mg 3.34
Pb3 0.3164 0.7510 0.8060 (multiplicity 2)  4 Pb 3.20-3.44, 1 Mg 3.32
Pb4 0.4641 0.9319 0.3553 (multiplicity 2)  2 Mg 3.02-3.17, 2 Pb 3.14-3.24

BaMg6Pb6 | GGA-PBE | relaxed

Values from the calculation:
Calculated formation energy (meV/atom): -147.9
Spin magnetization (μB per cell): 0.0

a b c (Å): 6.2765 10.5736 11.0046
angles (deg): 90.00 90.00 90.00
Last column: nearest neighbours and their distance in Å.
Space group Immm (No. 71)
Asymmetric unit:
Ba1 0.0000 0.0000 0.0000 (multiplicity 2)  8 Pb 3.64-3.79, 4 Mg 4.02
Mg1 0.0000 0.2616 0.5000 (multiplicity 4)  4 Mg 3.17, 6 Pb 3.22-3.33
Mg2 0.2500 0.2500 0.2500 (multiplicity 8)  4 Mg 3.14-3.17, 6 Pb 3.16-3.32
Pb1 0.0000 0.0000 0.3442 (multiplicity 4)  6 Mg 3.24-3.25, 3 Pb 3.43-3.61
Pb2 0.0000 0.3441 0.0000 (multiplicity 4)  1 Pb 3.30, 6 Mg 3.32-3.33, 1 Ba 3.64
Pb3 0.0000 0.5000 0.3180 (multiplicity 4)  6 Mg 3.16-3.22

BaMg4Pb2 | GGA-PBE | relaxed

Values from the calculation:
Calculated formation energy (meV/atom): -247.4
Spin magnetization (μB per cell): 0.0

a b c (Å): 9.2178 9.2178 4.7788
angles (deg): 90.00 90.00 90.00
Last column: nearest neighbours and their distance in Å.
Space group P4_2/mnm (No. 136)
Asymmetric unit:
Ba1 0.0000 0.0000 0.0000 (multiplicity 2)  6 Pb 3.69-3.71, 12 Mg 4.06
Mg1 0.0872 0.3458 0.5000 (multiplicity 8)  3 Pb 3.04-3.06, 6 Mg 3.27-3.37
Pb1 0.2154 0.7846 0.5000 (multiplicity 4)  6 Mg 3.04-3.06

BaMgPb2 | GGA-PBE | relaxed

Values from the calculation:
Calculated formation energy (meV/atom): -385.7
Spin magnetization (μB per cell): 0.0

a b c (Å): 16.6540 4.9405 13.2441
angles (deg): 90.00 90.00 90.00
Last column: nearest neighbours and their distance in Å.
Space group Pnma (No. 62)
Asymmetric unit:
Ba1 0.0442 0.2500 0.2459 (multiplicity 4)  7 Pb 3.52-3.86, 1 Mg 3.87
Ba2 0.2104 0.7500 0.5522 (multiplicity 4)  7 Pb 3.59-3.86, 1 Mg 3.79
Mg1 0.0563 0.2500 0.9537 (multiplicity 4)  4 Pb 3.00-3.06, 2 Mg 3.33
Mg2 0.1985 0.7500 0.8377 (multiplicity 4)  5 Pb 3.03-3.15
Pb1 0.0571 0.2500 0.5108 (multiplicity 4)  3 Pb 3.13-3.15
Pb2 0.1120 0.2500 0.7386 (multiplicity 4)  3 Mg 3.00-3.15, 2 Pb 3.15
Pb3 0.1274 0.7500 0.0482 (multiplicity 4)  4 Mg 3.01-3.06, 1 Pb 3.20
Pb4 0.2009 0.7500 0.2714 (multiplicity 4)  2 Mg 3.11, 2 Pb 3.15-3.20

Ba2MgPb | GGA-PBE | relaxed

Values from the calculation:
Calculated formation energy (meV/atom): 161.4
Spin magnetization (μB per cell): 0.0

a b c (Å): 5.4842 5.4842 24.0927
angles (deg): 90.00 90.00 90.00
Last column: nearest neighbours and their distance in Å.
Space group I-42d (No. 122)
Asymmetric unit:
Ba1 0.2406 0.2500 0.1250 (multiplicity 8)  2 Pb 3.56, 2 Mg 3.60, 4 Ba 3.81-3.95
Mg1 0.0000 0.0000 0.5000 (multiplicity 4)  4 Ba 3.60, 4 Pb 3.88
Pb1 0.0000 0.0000 0.0000 (multiplicity 4)  4 Ba 3.56, 4 Mg 3.88

Ba3Mg3Pb8 | GGA-PBE | relaxed

Values from the calculation:
Calculated formation energy (meV/atom): -305.0
Spin magnetization (μB per cell): 0.0

a b c (Å): 5.3961 11.4541 15.1116
angles (deg): 90.00 90.00 90.00
Last column: nearest neighbours and their distance in Å.
Space group Immm (No. 71)
Asymmetric unit:
Ba1 0.0000 0.0000 0.0000 (multiplicity 2)  12 Pb 3.80-4.03
Ba2 0.0000 0.0000 0.2832 (multiplicity 4)  10 Pb 3.73-4.05, 2 Mg 3.74
Mg1 0.0000 0.1574 0.5000 (multiplicity 4)  2 Pb 3.09, 2 Mg 3.25
Mg2 0.0000 0.5000 0.0000 (multiplicity 2)  4 Pb 3.13, 4 Mg 3.25
Pb1 0.0000 0.2993 0.1408 (multiplicity 8)  3 Mg 3.13-3.47, 3 Pb 3.23-3.38
Pb2 0.0000 0.3552 0.3605 (multiplicity 8)  1 Mg 3.09, 4 Pb 3.23-3.38

BaMgPb6 | GGA-PBE | relaxed

Values from the calculation:
Calculated formation energy (meV/atom): -166.7
Spin magnetization (μB per cell): 0.0

a b c (Å): 5.1838 5.1838 10.4806
angles (deg): 90.00 90.00 90.00
Last column: nearest neighbours and their distance in Å.
Space group P4/mmm (No. 123)
Asymmetric unit:
Ba1 0.0000 0.0000 0.0000 (multiplicity 1)  16 Pb 3.98-4.32
Mg1 0.0000 0.0000 0.5000 (multiplicity 1)  8 Pb 3.15
Pb1 0.0000 0.5000 0.3300 (multiplicity 4)  2 Mg 3.15, 2 Pb 3.21
Pb2 0.5000 0.5000 0.1486 (multiplicity 2)  5 Pb 3.12-3.21

Ba2MgPb | GGA-PBE | relaxed

Values from the calculation:
Calculated formation energy (meV/atom): -293.3
Spin magnetization (μB per cell): 0.8

a b c (Å): 13.4876 4.4387 5.8593
angles (deg): 90.00 115.74 90.00
Last column: nearest neighbours and their distance in Å.
Space group Cm (No. 8)
Asymmetric unit:
Ba1 0.0000 0.0000 0.0000 (multiplicity 2)  4 Pb 3.74, 2 Ba 3.81, 4 Mg 3.98-4.04
Ba2 0.2008 0.0000 0.7012 (multiplicity 2)  4 Mg 3.79-3.80, 2 Ba 3.81, 4 Pb 3.83-4.17
Mg1 0.2778 0.5000 0.2789 (multiplicity 2)  2 Pb 3.00
Pb1 0.4443 0.0000 0.4438 (multiplicity 2)  2 Mg 3.00

Ba2Mg5Pb4 | GGA-PBE | relaxed

Values from the calculation:
Calculated formation energy (meV/atom): -204.7
Spin magnetization (μB per cell): 0.0

a b c (Å): 6.8091 12.1481 17.1380
angles (deg): 90.00 90.00 90.00
Last column: nearest neighbours and their distance in Å.
Space group Fmmm (No. 69)
Asymmetric unit:
Ba1 0.0000 0.0000 0.1463 (multiplicity 8)  6 Pb 3.81-4.10, 6 Mg 3.91-4.23
Mg1 0.0000 0.0000 0.5000 (multiplicity 4)  4 Pb 2.88
Mg2 0.2500 0.2500 0.0000 (multiplicity 8)  4 Pb 3.18, 4 Mg 3.40-3.48
Mg3 0.2500 0.2500 0.2500 (multiplicity 8)  4 Pb 2.92
Pb1 0.0000 0.1396 0.3643 (multiplicity 16)  5 Mg 2.88-3.18

BaMg5Pb7 | GGA-PBE | relaxed

Values from the calculation:
Calculated formation energy (meV/atom): -137.6
Spin magnetization (μB per cell): 0.0

a b c (Å): 6.2943 11.0642 10.8401
angles (deg): 90.00 90.00 90.00
Last column: nearest neighbours and their distance in Å.
Space group Imm2 (No. 44)
Asymmetric unit:
Ba1 0.0000 0.0000 0.0000 (multiplicity 2)  10 Pb 3.68-3.98, 2 Mg 4.03
Mg1 0.0000 0.5000 0.2678 (multiplicity 2)  4 Mg 3.19, 6 Pb 3.27-3.35
Mg2 0.2488 0.2493 0.7473 (multiplicity 8)  7 Pb 3.12-3.40, 3 Mg 3.13-3.19
Pb1 0.0000 0.0000 0.3552 (multiplicity 2)  5 Pb 3.31-3.63, 4 Mg 3.40
Pb2 0.0000 0.0000 0.6609 (multiplicity 2)  6 Mg 3.31-3.35, 1 Pb 3.31, 1 Ba 3.68
Pb3 0.0000 0.3007 0.4902 (multiplicity 4)  5 Mg 3.12-3.27, 1 Pb 3.37
Pb4 0.0000 0.3441 0.0051 (multiplicity 4)  5 Mg 3.24-3.37, 4 Pb 3.45-3.53
Pb5 0.0000 0.5000 0.7254 (multiplicity 2)  4 Mg 3.19, 6 Pb 3.37-3.49

Ba2MgPb | GGA-PBE | relaxed

Values from the calculation:
Calculated formation energy (meV/atom): -120.0
Spin magnetization (μB per cell): 0.0

a b c (Å): 4.0958 5.2616 7.6044
angles (deg): 90.00 90.00 90.00
Last column: nearest neighbours and their distance in Å.
Space group Pmm2 (No. 25)
Asymmetric unit:
Ba1 0.0000 0.0000 0.0000 (multiplicity 1)  1 Mg 3.46, 4 Pb 3.68
Ba2 0.5000 0.5000 0.3384 (multiplicity 1)  1 Pb 3.48, 4 Mg 3.68
Mg1 0.0000 0.0000 0.5449 (multiplicity 1)  5 Ba 3.46-3.68, 4 Pb 3.84
Pb1 0.5000 0.5000 0.7963 (multiplicity 1)  5 Ba 3.48-3.68, 4 Mg 3.84

BaMgPb | GGA-PBE | relaxed

Values from the calculation:
Calculated formation energy (meV/atom): -5.5
Spin magnetization (μB per cell): 0.0

a b c (Å): 5.0480 5.0480 8.5414
angles (deg): 90.00 90.00 90.00
Last column: nearest neighbours and their distance in Å.
Space group P4/nmm (No. 129, origin choice 2)
Asymmetric unit:
Ba1 0.2500 0.7500 0.0000 (multiplicity 2)  4 Ba 3.57, 4 Pb 3.63, 4 Mg 3.93
Mg1 0.2500 0.2500 0.3523 (multiplicity 2)  1 Pb 2.92
Pb1 0.2500 0.2500 0.6946 (multiplicity 2)  1 Mg 2.92

BaMgPb2 | GGA-PBE | relaxed

Values from the calculation:
Calculated formation energy (meV/atom): -281.3
Spin magnetization (μB per cell): 0.0

a b c (Å): 3.7141 4.3779 7.8793
angles (deg): 90.00 90.13 90.00
Last column: nearest neighbours and their distance in Å.
Space group P2/m (No. 10)
Asymmetric unit:
Ba1 0.0000 0.0000 0.0000 (multiplicity 1)  8 Pb 3.71-3.72, 2 Ba 3.71, 2 Mg 3.94
Mg1 0.0000 0.0000 0.5000 (multiplicity 1)  8 Pb 3.27-3.29
Pb1 0.4975 0.5000 0.7011 (multiplicity 2)  1 Pb 3.17, 4 Mg 3.27-3.29

BaMg3Pb | GGA-PBE | relaxed

Values from the calculation:
Calculated formation energy (meV/atom): 132.7
Spin magnetization (μB per cell): 0.0

a b c (Å): 5.6957 5.6957 5.6957
angles (deg): 90.00 90.00 90.00
Last column: nearest neighbours and their distance in Å.
Space group Pm-3m (No. 221)
Asymmetric unit:
Ba1 0.0000 0.0000 0.0000 (multiplicity 1)  12 Mg 4.03
Mg1 0.0000 0.5000 0.5000 (multiplicity 3)  2 Pb 2.85
Pb1 0.5000 0.5000 0.5000 (multiplicity 1)  6 Mg 2.85

Ba2Mg12Pb7 | GGA-PBE | relaxed

Values from the calculation:
Calculated formation energy (meV/atom): -208.9
Spin magnetization (μB per cell): 0.0

a b c (Å): 11.9472 11.9472 4.7688
angles (deg): 90.00 90.00 120.00
Last column: nearest neighbours and their distance in Å.
Space group P-3 (No. 147)
Asymmetric unit:
Ba1 0.3333 0.6667 0.2560 (multiplicity 2)  6 Pb 3.68-3.69, 9 Mg 3.95-4.12
Mg1 0.0483 0.4263 0.7492 (multiplicity 6)  4 Pb 2.99-3.02, 1 Mg 3.27
Mg2 0.1127 0.2582 0.2491 (multiplicity 6)  4 Pb 2.93-3.16, 1 Mg 3.27
Pb1 0.0000 0.0000 0.5000 (multiplicity 1)  6 Mg 2.93
Pb2 0.1195 0.7046 0.7540 (multiplicity 6)  7 Mg 2.99-3.16

BaMgPb | GGA-PBE | relaxed

Values from the calculation:
Calculated formation energy (meV/atom): -491.0
Spin magnetization (μB per cell): 0.0

a b c (Å): 5.0235 5.0235 8.2740
angles (deg): 90.00 90.00 90.00
Last column: nearest neighbours and their distance in Å.
Space group P4/nmm (No. 129, origin choice 2)
Asymmetric unit:
Ba1 0.2500 0.2500 0.1731 (multiplicity 2)  5 Pb 3.66-3.77, 4 Mg 3.69
Mg1 0.2500 0.7500 0.5000 (multiplicity 2)  4 Pb 3.09
Pb1 0.2500 0.2500 0.7179 (multiplicity 2)  4 Mg 3.09

BaMgPb2 | GGA-PBE | relaxed

Values from the calculation:
Calculated formation energy (meV/atom): -237.8
Spin magnetization (μB per cell): 0.0

a b c (Å): 10.0653 4.8176 6.2253
angles (deg): 90.00 110.23 90.00
Last column: nearest neighbours and their distance in Å.
Space group Cm (No. 8)
Asymmetric unit:
Ba1 0.0000 0.0000 0.0000 (multiplicity 2)  5 Pb 3.52-3.79, 4 Mg 3.77-3.83
Mg1 0.2684 0.5000 0.3761 (multiplicity 2)  5 Pb 3.12-3.17
Pb1 0.2254 0.0000 0.6755 (multiplicity 2)  2 Mg 3.17, 3 Pb 3.27-3.40, 1 Ba 3.52
Pb2 0.4765 0.0000 0.4546 (multiplicity 2)  3 Mg 3.12-3.14, 3 Pb 3.27-3.40